# CeRePO

CeRePO after structural relaxation (PBE-GGA, Alexandria via LeMat-Bulk).

The structure in CIF format:
```
data_CeRePO
_symmetry_space_group_name_H-M 'P 4/n m m'
_symmetry_Int_Tables_number 129
_cell_length_a 4.005
_cell_length_b 4.005
_cell_length_c 8.241
_cell_angle_alpha 90.00
_cell_angle_beta 90.00
_cell_angle_gamma 90.00
loop_
_symmetry_equiv_pos_as_xyz
'x,y,z'
'-x,-y,-z'
'-y+1/2,x,z'
'y+1/2,-x,-z'
'-x+1/2,-y+1/2,z'
'x+1/2,y+1/2,-z'
'y,-x+1/2,z'
'-y,x+1/2,-z'
'x+1/2,-y,-z'
'-x+1/2,y,z'
'-y,-x,-z'
'y,x,z'
'-x,y+1/2,-z'
'x,-y+1/2,z'
'y+1/2,x+1/2,-z'
'-y+1/2,-x+1/2,z'
loop_
_atom_site_label
_atom_site_fract_x
_atom_site_fract_y
_atom_site_fract_z
_atom_site_occupancy
Ce1 0.250 0.250 0.148 1
Re1 0.250 0.750 0.500 1
P1 0.250 0.250 0.659 1
O1 0.250 0.750 0.000 1
```

=====

# Mn2Pt8Au PBE-GGA optimized geometry
# Formation enthalpy at 0 K (eV/atom): -0.10
data_Mn2Pt8Au
_symmetry_space_group_name_H-M 'I m m m'
_symmetry_Int_Tables_number 71
_symmetry_space_group_name_Hall '-I 2 2'
_cell_length_a 4.006
_cell_length_b 7.431
_cell_length_c 11.870
_cell_angle_alpha 90.00
_cell_angle_beta 90.00
_cell_angle_gamma 90.00
loop_
_atom_site_label
_atom_site_fract_x
_atom_site_fract_y
_atom_site_fract_z
_atom_site_occupancy
Mn1 0.000 0.000 0.182 1
Pt1 0.000 0.200 0.000 1
Pt2 0.000 0.270 0.339 1
Pt3 0.000 0.500 0.161 1
Au1 0.000 0.000 0.500 1

=====

# Li4LaW PBE-GGA optimized geometry
# Formation enthalpy at 0 K (eV/atom): 0.55
data_Li4LaW
_symmetry_space_group_name_H-M 'F -4 3 m'
_symmetry_Int_Tables_number 216
_symmetry_space_group_name_Hall 'F -4 2 3'
_cell_length_a 7.582
_cell_length_b 7.582
_cell_length_c 7.582
_cell_angle_alpha 90.00
_cell_angle_beta 90.00
_cell_angle_gamma 90.00
loop_
_atom_site_label
_atom_site_fract_x
_atom_site_fract_y
_atom_site_fract_z
_atom_site_occupancy
Li1 0.121 0.121 0.121 1
La1 0.000 0.000 0.500 1
W1 0.250 0.250 0.750 1

=====

# Pr5In4Pt2 PBE-GGA optimized geometry
# Formation enthalpy at 0 K (eV/atom): -0.76
data_Pr5In4Pt2
_symmetry_space_group_name_H-M 'P b a m'
_symmetry_Int_Tables_number 55
_cell_length_a 8.331
_cell_length_b 18.823
_cell_length_c 3.829
_cell_angle_alpha 90.00
_cell_angle_beta 90.00
_cell_angle_gamma 90.00
loop_
_symmetry_equiv_pos_as_xyz
'x,y,z'
'-x,-y,-z'
'-x,-y,z'
'x,y,-z'
'x+1/2,-y+1/2,-z'
'-x+1/2,y+1/2,z'
'-x+1/2,y+1/2,-z'
'x+1/2,-y+1/2,z'
loop_
_atom_site_label
_atom_site_fract_x
_atom_site_fract_y
_atom_site_fract_z
_atom_site_occupancy
Pr1 0.000 0.000 0.000 1
Pr2 0.117 0.416 0.000 1
Pr3 0.241 0.222 0.000 1
In1 0.070 0.851 0.500 1
In2 0.212 0.570 0.500 1
Pt1 0.020 0.304 0.500 1

=====

# Hf2NbTl PBE-GGA optimized geometry
# Excess energy over the best structure of this formula in the dataset (meV/atom): 86
# Formation enthalpy at 0 K (eV/atom): 0.07
data_Hf2NbTl
_symmetry_space_group_name_H-M 'C 1 m 1'
_symmetry_Int_Tables_number 8
_cell_length_a 5.158
_cell_length_b 3.608
_cell_length_c 9.495
_cell_angle_alpha 90.00
_cell_angle_beta 96.65
_cell_angle_gamma 90.00
loop_
_symmetry_equiv_pos_as_xyz
'x,y,z'
'x,-y,z'
'x+1/2,y+1/2,z'
'x+1/2,-y+1/2,z'
loop_
_atom_site_label
_atom_site_fract_x
_atom_site_fract_y
_atom_site_fract_z
_atom_site_occupancy
Hf1 0.000 0.000 0.000 1
Hf2 0.086 0.000 0.461 1
Nb1 0.467 0.000 0.230 1
Tl1 0.046 0.500 0.730 1

=====

# LaGaCoSb2

LaGaCoSb2 after structural relaxation (PBE-GGA, Alexandria via LeMat-Bulk).

The structure in CIF format:
```
data_LaGaCoSb2
_symmetry_space_group_name_H-M 'P 4/m m m'
_symmetry_Int_Tables_number 123
_symmetry_space_group_name_Hall '-P 4 2'
_cell_length_a 6.130
_cell_length_b 6.130
_cell_length_c 4.770
_cell_angle_alpha 90.00
_cell_angle_beta 90.00
_cell_angle_gamma 90.00
loop_
_atom_site_label
_atom_site_fract_x
_atom_site_fract_y
_atom_site_fract_z
_atom_site_occupancy
La1 0.000 0.000 0.000 1
Ga1 0.500 0.500 0.500 1
Co1 0.000 0.000 0.500 1
Sb1 0.000 0.500 0.000 1
```

=====

# Cd3In2Hg3 PBE-GGA optimized geometry
# Excess energy over the best structure of this formula in the dataset (meV/atom): 0
# Formation enthalpy at 0 K (eV/atom): 0.02
data_Cd3In2Hg3
_symmetry_space_group_name_H-M 'P m m m'
_symmetry_Int_Tables_number 47
_cell_length_a 4.937
_cell_length_b 4.958
_cell_length_c 8.278
_cell_angle_alpha 90.00
_cell_angle_beta 90.00
_cell_angle_gamma 90.00
loop_
_symmetry_equiv_pos_as_xyz
'x,y,z'
'-x,-y,-z'
'-x,-y,z'
'x,y,-z'
'x,-y,-z'
'-x,y,z'
'-x,y,-z'
'x,-y,z'
loop_
_atom_site_label
_atom_site_fract_x
_atom_site_fract_y
_atom_site_fract_z
_atom_site_occupancy
Cd1 0.000 0.000 0.000 1
Cd2 0.500 0.000 0.248 1
In1 0.000 0.500 0.250 1
Hg1 0.000 0.000 0.500 1
Hg2 0.500 0.500 0.000 1
Hg3 0.500 0.500 0.500 1

=====

# CeZn2In PBE-GGA optimized geometry
# Formation enthalpy at 0 K (eV/atom): -0.12
data_CeZn2In
_symmetry_space_group_name_H-M 'P 4/m m m'
_symmetry_Int_Tables_number 123
_symmetry_space_group_name_Hall '-P 4 2'
_cell_length_a 3.516
_cell_length_b 3.516
_cell_length_c 7.149
_cell_angle_alpha 90.00
_cell_angle_beta 90.00
_cell_angle_gamma 90.00
loop_
_atom_site_label
_atom_site_fract_x
_atom_site_fract_y
_atom_site_fract_z
_atom_site_occupancy
Ce1 0.000 0.000 0.000 1
Zn1 0.500 0.500 0.273 1
In1 0.000 0.000 0.500 1

=====

# Cs3Tm2Te6Pb

Cs3Tm2Te6Pb after structural relaxation (PBE-GGA, Alexandria via LeMat-Bulk).

The structure in CIF format:
```
data_Cs3Tm2Te6Pb
_symmetry_space_group_name_H-M 'C 1 2/m 1'
_symmetry_Int_Tables_number 12
_cell_length_a 7.904
_cell_length_b 13.715
_cell_length_c 9.351
_cell_angle_alpha 90.00
_cell_angle_beta 106.38
_cell_angle_gamma 90.00
loop_
_symmetry_equiv_pos_as_xyz
'x,y,z'
'-x,-y,-z'
'-x,y,-z'
'x,-y,z'
'x+1/2,y+1/2,z'
'-x+1/2,-y+1/2,-z'
'-x+1/2,y+1/2,-z'
'x+1/2,-y+1/2,z'
loop_
_atom_site_label
_atom_site_fract_x
_atom_site_fract_y
_atom_site_fract_z
_atom_site_occupancy
Cs1 0.000 0.000 0.000 1
Cs2 0.000 0.339 0.000 1
Tm1 0.000 0.168 0.500 1
Te1 0.211 0.000 0.689 1
Te2 0.240 0.324 0.691 1
Pb1 0.000 0.500 0.500 1
```

=====

# CaLa4Pr2 PBE-GGA optimized geometry
# Excess energy over the best structure of this formula in the dataset (meV/atom): 175
# Formation enthalpy at 0 K (eV/atom): 0.19
data_CaLa4Pr2
_symmetry_space_group_name_H-M 'I m m a'
_symmetry_Int_Tables_number 74
_symmetry_space_group_name_Hall '-I 2b 2'
_cell_length_a 7.209
_cell_length_b 12.064
_cell_length_c 12.193
_cell_angle_alpha 90.00
_cell_angle_beta 90.00
_cell_angle_gamma 90.00
loop_
_atom_site_label
_atom_site_fract_x
_atom_site_fract_y
_atom_site_fract_z
_atom_site_occupancy
Ca1 0.000 0.000 0.000 1
La1 0.000 0.002 0.329 1
La2 0.216 0.250 0.514 1
Pr1 0.000 0.250 0.783 1
Pr2 0.250 0.250 0.250 1

=====

# ZnPRuC2 PBE-GGA optimized geometry
# Formation enthalpy at 0 K (eV/atom): 2.37
data_ZnPRuC2
_symmetry_space_group_name_H-M 'P 4/m m m'
_symmetry_Int_Tables_number 123
_symmetry_space_group_name_Hall '-P 4 2'
_cell_length_a 3.748
_cell_length_b 3.748
_cell_length_c 4.863
_cell_angle_alpha 90.00
_cell_angle_beta 90.00
_cell_angle_gamma 90.00
loop_
_atom_site_label
_atom_site_fract_x
_atom_site_fract_y
_atom_site_fract_z
_atom_site_occupancy
Zn1 0.000 0.000 0.000 1
P1 0.000 0.000 0.500 1
Ru1 0.500 0.500 0.500 1
C1 0.000 0.500 0.000 1

=====

# Cs2PtBrN PBE-GGA optimized geometry
# Excess energy over the best structure of this formula in the dataset (meV/atom): 77
data_Cs2PtBrN
_symmetry_space_group_name_H-M 'P 4/m m m'
_symmetry_Int_Tables_number 123
_symmetry_space_group_name_Hall '-P 4 2'
_cell_length_a 6.842
_cell_length_b 6.842
_cell_length_c 3.752
_cell_angle_alpha 90.00
_cell_angle_beta 90.00
_cell_angle_gamma 90.00
loop_
_atom_site_label
_atom_site_fract_x
_atom_site_fract_y
_atom_site_fract_z
_atom_site_occupancy
Cs1 0.000 0.500 0.000 1
Pt1 0.000 0.000 0.000 1
Br1 0.500 0.500 0.500 1
N1 0.000 0.000 0.500 1

=====

# LaPu6S8

LaPu6S8 after structural relaxation (PBE-GGA, Alexandria via LeMat-Bulk).

The structure in CIF format:
```
data_LaPu6S8
_symmetry_space_group_name_H-M 'F m -3 m'
_symmetry_Int_Tables_number 225
_symmetry_space_group_name_Hall '-F 4 2 3'
_cell_length_a 11.278
_cell_length_b 11.278
_cell_length_c 11.278
_cell_angle_alpha 90.00
_cell_angle_beta 90.00
_cell_angle_gamma 90.00
loop_
_atom_site_label
_atom_site_fract_x
_atom_site_fract_y
_atom_site_fract_z
_atom_site_occupancy
La1 0.000 0.000 0.000 1
Pu1 0.000 0.250 0.250 1
S1 0.000 0.000 0.255 1
S2 0.250 0.250 0.250 1
```

=====

# AlCdAsO6

AlCdAsO6 after structural relaxation (PBE-GGA, Alexandria via LeMat-Bulk).

The structure in CIF format:
```
data_AlCdAsO6
_symmetry_space_group_name_H-M 'P -3 1 c'
_symmetry_Int_Tables_number 163
_symmetry_space_group_name_Hall '-P 3 2c'
_cell_length_a 5.0323
_cell_length_b 5.0323
_cell_length_c 9.3765
_cell_angle_alpha 90.00
_cell_angle_beta 90.00
_cell_angle_gamma 120.00
loop_
_atom_site_label
_atom_site_fract_x
_atom_site_fract_y
_atom_site_fract_z
_atom_site_occupancy
Al1 0.3333 0.6667 0.2500 1
Cd1 0.0000 0.0000 0.0000 1
As1 0.3333 0.6667 0.7500 1
O1 0.0086 0.3731 0.6433 1
```

=====

# AcPm3S

AcPm3S after structural relaxation (PBE-GGA, Alexandria via LeMat-Bulk).

The structure in CIF format:
```
data_AcPm3S
_symmetry_space_group_name_H-M 'P m -3 m'
_symmetry_Int_Tables_number 221
_symmetry_space_group_name_Hall '-P 4 2 3'
_cell_length_a 5.541
_cell_length_b 5.541
_cell_length_c 5.541
_cell_angle_alpha 90.00
_cell_angle_beta 90.00
_cell_angle_gamma 90.00
loop_
_atom_site_label
_atom_site_fract_x
_atom_site_fract_y
_atom_site_fract_z
_atom_site_occupancy
Ac1 0.000 0.000 0.000 1
Pm1 0.000 0.500 0.500 1
S1 0.500 0.500 0.500 1
```

=====

# ZrTi3Tl PBE-GGA optimized geometry
# Excess energy over the best structure of this formula in the dataset (meV/atom): 181
# Formation enthalpy at 0 K (eV/atom): 1.25
data_ZrTi3Tl
_symmetry_space_group_name_H-M 'P m -3 m'
_symmetry_Int_Tables_number 221
_symmetry_space_group_name_Hall '-P 4 2 3'
_cell_length_a 5.039
_cell_length_b 5.039
_cell_length_c 5.039
_cell_angle_alpha 90.00
_cell_angle_beta 90.00
_cell_angle_gamma 90.00
loop_
_atom_site_label
_atom_site_fract_x
_atom_site_fract_y
_atom_site_fract_z
_atom_site_occupancy
Zr1 0.000 0.000 0.000 1
Ti1 0.000 0.500 0.500 1
Tl1 0.500 0.500 0.500 1

=====

# Sc5Cu PBE-GGA optimized geometry
# Excess energy over the best structure of this formula in the dataset (meV/atom): 102
# Formation enthalpy at 0 K (eV/atom): 0.05
data_Sc5Cu
_symmetry_space_group_name_H-M 'C m m m'
_symmetry_Int_Tables_number 65
_symmetry_space_group_name_Hall '-C 2 2'
_cell_length_a 4.173
_cell_length_b 13.946
_cell_length_c 4.522
_cell_angle_alpha 90.00
_cell_angle_beta 90.00
_cell_angle_gamma 90.00
loop_
_atom_site_label
_atom_site_fract_x
_atom_site_fract_y
_atom_site_fract_z
_atom_site_occupancy
Sc1 0.000 0.000 0.000 1
Sc2 0.000 0.155 0.500 1
Sc3 0.000 0.330 0.000 1
Cu1 0.000 0.500 0.500 1

=====

# BaCa2LaOs PBE-GGA optimized geometry
# Formation enthalpy at 0 K (eV/atom): 0.09
data_BaCa2LaOs
_symmetry_space_group_name_H-M 'P 4/m m m'
_symmetry_Int_Tables_number 123
_symmetry_space_group_name_Hall '-P 4 2'
_cell_length_a 5.902
_cell_length_b 5.902
_cell_length_c 5.386
_cell_angle_alpha 90.00
_cell_angle_beta 90.00
_cell_angle_gamma 90.00
loop_
_atom_site_label
_atom_site_fract_x
_atom_site_fract_y
_atom_site_fract_z
_atom_site_occupancy
Ba1 0.000 0.000 0.000 1
Ca1 0.000 0.500 0.500 1
La1 0.500 0.500 0.000 1
Os1 0.500 0.500 0.500 1

=====

# CaLaAu2 PBE-GGA optimized geometry
# Formation enthalpy at 0 K (eV/atom): -0.71
data_CaLaAu2
_symmetry_space_group_name_H-M 'R 3 m'
_symmetry_Int_Tables_number 160
_symmetry_space_group_name_Hall 'R 3 -2"'
_cell_length_a 4.2491
_cell_length_b 4.2491
_cell_length_c 22.3837
_cell_angle_alpha 90.00
_cell_angle_beta 90.00
_cell_angle_gamma 120.00
loop_
_atom_site_label
_atom_site_fract_x
_atom_site_fract_y
_atom_site_fract_z
_atom_site_occupancy
Ca1 0.0000 0.0000 0.0000 1
La1 0.0000 0.0000 0.1711 1
Au1 0.0000 0.0000 0.5870 1
Au2 0.0000 0.0000 0.7516 1

=====

# PaCuRuPt PBE-GGA optimized geometry
# Excess energy over the best structure of this formula in the dataset (meV/atom): 0
# Formation enthalpy at 0 K (eV/atom): -0.65
data_PaCuRuPt
_symmetry_space_group_name_H-M 'P m m m'
_symmetry_Int_Tables_number 47
_cell_length_a 3.823
_cell_length_b 3.980
_cell_length_c 4.428
_cell_angle_alpha 90.00
_cell_angle_beta 90.00
_cell_angle_gamma 90.00
loop_
_symmetry_equiv_pos_as_xyz
'x,y,z'
'-x,-y,-z'
'-x,-y,z'
'x,y,-z'
'x,-y,-z'
'-x,y,z'
'-x,y,-z'
'x,-y,z'
loop_
_atom_site_label
_atom_site_fract_x
_atom_site_fract_y
_atom_site_fract_z
_atom_site_occupancy
Pa1 0.000 0.000 0.000 1
Cu1 0.000 0.500 0.500 1
Ru1 0.500 0.500 0.000 1
Pt1 0.500 0.000 0.500 1

=====

# NpTlSnBr6

NpTlSnBr6 after structural relaxation (PBE-GGA, Alexandria via LeMat-Bulk).

The structure in CIF format:
```
data_NpTlSnBr6
_symmetry_space_group_name_H-M 'P -3 1 c'
_symmetry_Int_Tables_number 163
_symmetry_space_group_name_Hall '-P 3 2c'
_cell_length_a 7.6874
_cell_length_b 7.6874
_cell_length_c 14.1943
_cell_angle_alpha 90.00
_cell_angle_beta 90.00
_cell_angle_gamma 120.00
loop_
_atom_site_label
_atom_site_fract_x
_atom_site_fract_y
_atom_site_fract_z
_atom_site_occupancy
Np1 0.3333 0.6667 0.2500 1
Tl1 0.0000 0.0000 0.0000 1
Sn1 0.3333 0.6667 0.7500 1
Br1 0.0102 0.3685 0.1348 1
```

=====

# SmCu3Sn3 PBE-GGA optimized geometry
# Excess energy over the best structure of this formula in the dataset (meV/atom): 0
# Formation enthalpy at 0 K (eV/atom): -0.09
data_SmCu3Sn3
_symmetry_space_group_name_H-M 'R -3'
_symmetry_Int_Tables_number 148
_symmetry_space_group_name_Hall '-R 3'
_cell_length_a 7.0217
_cell_length_b 7.0217
_cell_length_c 21.9264
_cell_angle_alpha 90.00
_cell_angle_beta 90.00
_cell_angle_gamma 120.00
loop_
_atom_site_label
_atom_site_fract_x
_atom_site_fract_y
_atom_site_fract_z
_atom_site_occupancy
Sm1 0.0000 0.0000 0.1617 1
Cu1 0.0223 0.2302 0.9555 1
Sn1 0.0412 0.4467 0.0737 1

=====

# Ti2GaCu2 PBE-GGA optimized geometry
# Excess energy over the best structure of this formula in the dataset (meV/atom): 0
# Formation enthalpy at 0 K (eV/atom): -0.18
data_Ti2GaCu2
_symmetry_space_group_name_H-M 'P 4/m b m'
_symmetry_Int_Tables_number 127
_symmetry_space_group_name_Hall '-P 4 2ab'
_cell_length_a 6.701
_cell_length_b 6.701
_cell_length_c 3.300
_cell_angle_alpha 90.00
_cell_angle_beta 90.00
_cell_angle_gamma 90.00
loop_
_atom_site_label
_atom_site_fract_x
_atom_site_fract_y
_atom_site_fract_z
_atom_site_occupancy
Ti1 0.171 0.329 0.000 1
Ga1 0.000 0.000 0.500 1
Cu1 0.127 0.627 0.500 1

=====

For reference, energy by record: -8.9861 -6.4556 -3.7072 -5.0245 -8.0180 -3.7770 -1.1213 -2.9207 -3.9151 -4.2748 -4.5145 -4.1916 -10.0381 -5.6927 -5.1936 -5.6680 -5.9074 -4.3302 -4.0851 -7.8802 -4.3040 -4.2302 -5.5790 eV per atom.
For reference, calculated volume by record: 16.53 16.06 18.16 27.29 21.94 35.85 25.33 22.09 40.52 37.87 13.67 35.13 23.91 11.42 34.02 25.59 21.93 37.52 29.17 16.84 40.36 22.29 14.82 Å³ per atom.